VASP calculation (PBE) on an optimized crystal structure of NaCdCo2.

Values from the calculation:
**Energy relative to the elements**: 736 meV/atom

a = 3.934 Å, b = 3.934 Å, c = 19.250 Å
α = 90.00°, β = 90.00°, γ = 90.00°
Space group I-42d (No. 122)
One atom of each set of equivalent atoms:
1 Na 0.000 0.000 0.000 x4
2 Cd 0.000 0.000 0.500 x4
3 Co 0.151 0.250 0.625 x8